# PBE-GGA KTcPt2, optimized geometry
data_KTcPt2
_space_group_name_H-M_alt 'P 1'
_space_group_IT_number 1
_cell_length_a 2.849
_cell_length_b 2.849
_cell_length_c 9.066
_cell_angle_alpha 90.00
_cell_angle_beta 90.00
_cell_angle_gamma 90.00
loop_
_space_group_symop_operation_xyz
'x,y,z'
loop_
_atom_site_label
_atom_site_fract_x
_atom_site_fract_y
_atom_site_fract_z
K1 0.500 0.500 0.750
Pt1 0.000 0.000 0.050
Pt2 0.000 0.000 0.450
Tc1 0.500 0.500 0.250
# **DOS at the Fermi energy**: 4.5 states/eV per cell
# **Energy**: -5.8042 eV per atom
# **Mass density**: 11.90 Mg/m³
# **Total magnetic moment**: 0.0 μB/f.u.
# **Relative energy among the computed polymorphs**: 0 meV per atom

# PBE-GGA Zr2Mn3, optimized geometry
data_Zr2Mn3
_space_group_name_H-M_alt 'P 1'
_space_group_IT_number 1
_cell_length_a 5.348
_cell_length_b 5.348
_cell_length_c 7.045
_cell_angle_alpha 79.14
_cell_angle_beta 79.14
_cell_angle_gamma 120.24
loop_
_space_group_symop_operation_xyz
'x,y,z'
loop_
_atom_site_label
_atom_site_fract_x
_atom_site_fract_y
_atom_site_fract_z
Mn1 0.140 0.307 0.250
Mn2 0.557 0.390 0.750
Mn3 0.140 0.807 0.250
Mn4 0.057 0.390 0.750
Mn5 0.094 0.094 0.000
Mn6 0.844 0.344 0.500
Zr1 0.719 0.389 0.101
Zr2 0.490 0.820 0.899
Zr3 0.570 0.740 0.399
Zr4 0.139 0.969 0.601
# **DOS at the Fermi energy**: 10.6 states/eV per cell
# **Energy**: -8.9883 eV per atom
# **Mass density**: 7.16 Mg/m³
# **Total magnetic moment**: 2.0 μB/f.u.
# **Relative energy among the computed polymorphs**: 0 meV per atom

# PBE-GGA Dy4Cu2Sn, optimized geometry
data_Dy4Cu2Sn
_space_group_name_H-M_alt 'P 1'
_space_group_IT_number 1
_cell_length_a 7.971
_cell_length_b 7.971
_cell_length_c 7.935
_cell_angle_alpha 107.50
_cell_angle_beta 107.49
_cell_angle_gamma 113.68
loop_
_space_group_symop_operation_xyz
'x,y,z'
loop_
_atom_site_label
_atom_site_fract_x
_atom_site_fract_y
_atom_site_fract_z
Dy1 0.924 0.246 0.321
Dy2 0.327 0.504 0.180
Dy3 0.926 0.603 0.679
Dy4 0.753 0.077 0.680
Dy5 0.397 0.074 0.320
Dy6 0.324 0.147 0.820
Dy7 0.497 0.674 0.821
Dy8 0.853 0.676 0.179
Cu1 0.625 0.375 0.750
Cu2 0.625 0.875 0.250
Cu3 0.625 0.375 0.250
Cu4 0.125 0.375 0.750
Sn1 0.250 0.750 0.500
Sn2 0.000 0.000 0.000
# **DOS at the Fermi energy**: 9.9 states/eV per cell
# **Energy**: -4.5593 eV per atom
# **Mass density**: 7.71 Mg/m³
# **Total magnetic moment**: 0.0 μB/f.u.

# PBE-GGA RbNiAgB2, optimized geometry
data_RbNiAgB2
_space_group_name_H-M_alt 'P 1'
_space_group_IT_number 1
_cell_length_a 4.262
_cell_length_b 5.137
_cell_length_c 4.262
_cell_angle_alpha 90.00
_cell_angle_beta 90.00
_cell_angle_gamma 90.00
loop_
_space_group_symop_operation_xyz
'x,y,z'
loop_
_atom_site_label
_atom_site_fract_x
_atom_site_fract_y
_atom_site_fract_z
Ni1 0.000 0.500 0.000
B1 0.000 0.000 0.500
B2 0.500 0.000 0.000
Rb1 0.500 0.500 0.500
Ag1 0.000 0.000 0.000
# **DOS at the Fermi energy**: 3.1 states/eV per cell
# **Energy**: -3.0655 eV per atom
# **Mass density**: 4.87 Mg/m³
# **Total magnetic moment**: 0.2 μB/f.u.

# PBE-GGA Ba2HgBi2, optimized geometry
data_Ba2HgBi2
_space_group_name_H-M_alt 'P 1'
_space_group_IT_number 1
_cell_length_a 6.882
_cell_length_b 6.882
_cell_length_c 6.942
_cell_angle_alpha 60.28
_cell_angle_beta 60.28
_cell_angle_gamma 90.00
loop_
_space_group_symop_operation_xyz
'x,y,z'
loop_
_atom_site_label
_atom_site_fract_x
_atom_site_fract_y
_atom_site_fract_z
Ba1 0.750 0.250 0.500
Ba2 0.250 0.750 0.500
Bi1 0.340 0.340 0.320
Bi2 0.660 0.660 0.680
Hg1 0.000 0.000 0.000
# **DOS at the Fermi energy**: 2.1 states/eV per cell
# **Energy**: -2.8824 eV per atom
# **Mass density**: 6.33 Mg/m³
# **Total magnetic moment**: 0.0 μB/f.u.
# **Relative energy among the computed polymorphs**: 238 meV per atom

# PBE-GGA ReSbPt, optimized geometry
data_ReSbPt
_space_group_name_H-M_alt 'P 1'
_space_group_IT_number 1
_cell_length_a 6.796
_cell_length_b 6.796
_cell_length_c 2.965
_cell_angle_alpha 77.40
_cell_angle_beta 77.40
_cell_angle_gamma 25.20
loop_
_space_group_symop_operation_xyz
'x,y,z'
loop_
_atom_site_label
_atom_site_fract_x
_atom_site_fract_y
_atom_site_fract_z
Pt1 0.027 0.027 0.973
Re1 0.657 0.657 0.343
Sb1 0.316 0.316 0.684
# **DOS at the Fermi energy**: 3.3 states/eV per cell
# **Energy**: -7.0862 eV per atom
# **Mass density**: 14.70 Mg/m³
# **Total magnetic moment**: 0.0 μB/f.u.
# **Relative energy among the computed polymorphs**: 114 meV per atom

# PBE-GGA TaFe3N, optimized geometry
data_TaFe3N
_space_group_name_H-M_alt 'P 1'
_space_group_IT_number 1
_cell_length_a 4.545
_cell_length_b 4.545
_cell_length_c 4.545
_cell_angle_alpha 90.00
_cell_angle_beta 90.00
_cell_angle_gamma 90.00
loop_
_space_group_symop_operation_xyz
'x,y,z'
loop_
_atom_site_label
_atom_site_fract_x
_atom_site_fract_y
_atom_site_fract_z
N1 0.500 0.500 0.500
Fe1 0.000 0.500 0.000
Fe2 0.000 0.000 0.500
Fe3 0.500 0.000 0.000
Ta1 0.000 0.000 0.000
# **DOS at the Fermi energy**: 5.2 states/eV per cell
# **Energy**: -6.5482 eV per atom
# **Mass density**: 6.41 Mg/m³
# **Total magnetic moment**: 6.5 μB/f.u.
# **Relative energy among the computed polymorphs**: 2672 meV per atom

# PBE-GGA UPa2Se, optimized geometry
data_UPa2Se
_space_group_name_H-M_alt 'P 1'
_space_group_IT_number 1
_cell_length_a 3.292
_cell_length_b 5.264
_cell_length_c 5.264
_cell_angle_alpha 90.00
_cell_angle_beta 90.00
_cell_angle_gamma 90.00
loop_
_space_group_symop_operation_xyz
'x,y,z'
loop_
_atom_site_label
_atom_site_fract_x
_atom_site_fract_y
_atom_site_fract_z
Pa1 0.000 0.000 0.500
Pa2 0.000 0.500 0.000
U1 0.500 0.500 0.500
Se1 0.500 0.000 0.000
# **DOS at the Fermi energy**: 8.4 states/eV per cell
# **Energy**: -8.6937 eV per atom
# **Mass density**: 14.18 Mg/m³
# **Total magnetic moment**: 1.3 μB/f.u.

# PBE-GGA Ba4Ga2Pd, optimized geometry
data_Ba4Ga2Pd
_space_group_name_H-M_alt 'P 1'
_space_group_IT_number 1
_cell_length_a 6.244
_cell_length_b 6.244
_cell_length_c 9.089
_cell_angle_alpha 110.09
_cell_angle_beta 110.09
_cell_angle_gamma 90.00
loop_
_space_group_symop_operation_xyz
'x,y,z'
loop_
_atom_site_label
_atom_site_fract_x
_atom_site_fract_y
_atom_site_fract_z
Ga1 0.592 0.592 0.185
Ga2 0.408 0.408 0.815
Ba1 0.802 0.802 0.604
Ba2 0.198 0.198 0.396
Ba3 0.000 0.500 0.000
Ba4 0.500 0.000 0.000
Pd1 0.000 0.000 0.000
# **DOS at the Fermi energy**: 9.1 states/eV per cell
# **Energy**: -2.9185 eV per atom
# **Mass density**: 4.26 Mg/m³
# **Total magnetic moment**: 0.0 μB/f.u.

# PBE-GGA Ni3OsRh3, optimized geometry
data_Ni3OsRh3
_space_group_name_H-M_alt 'P 1'
_space_group_IT_number 1
_cell_length_a 4.269
_cell_length_b 6.999
_cell_length_c 6.999
_cell_angle_alpha 120.00
_cell_angle_beta 90.00
_cell_angle_gamma 90.00
loop_
_space_group_symop_operation_xyz
'x,y,z'
loop_
_atom_site_label
_atom_site_fract_x
_atom_site_fract_y
_atom_site_fract_z
Ni1 0.750 0.771 0.817
Ni2 0.750 0.046 0.229
Ni3 0.250 0.817 0.046
Ni4 0.750 0.183 0.954
Ni5 0.250 0.954 0.771
Ni6 0.250 0.229 0.183
Os1 0.250 0.667 0.333
Os2 0.750 0.333 0.667
Rh1 0.750 0.628 0.090
Rh2 0.750 0.462 0.372
Rh3 0.250 0.090 0.462
Rh4 0.750 0.910 0.538
Rh5 0.250 0.538 0.628
Rh6 0.250 0.372 0.910
# **DOS at the Fermi energy**: 24.3 states/eV per cell
# **Energy**: -7.1808 eV per atom
# **Mass density**: 12.38 Mg/m³
# **Total magnetic moment**: 1.6 μB/f.u.

# PBE-GGA Be2AuCl, optimized geometry
data_Be2AuCl
_space_group_name_H-M_alt 'P 1'
_space_group_IT_number 1
_cell_length_a 3.056
_cell_length_b 3.056
_cell_length_c 6.471
_cell_angle_alpha 90.00
_cell_angle_beta 90.00
_cell_angle_gamma 90.00
loop_
_space_group_symop_operation_xyz
'x,y,z'
loop_
_atom_site_label
_atom_site_fract_x
_atom_site_fract_y
_atom_site_fract_z
Be1 0.000 0.000 0.939
Be2 0.000 0.000 0.561
Au1 0.500 0.500 0.750
Cl1 0.500 0.500 0.250
# **DOS at the Fermi energy**: 0.3 states/eV per cell
# **Energy**: -2.9743 eV per atom
# **Mass density**: 6.88 Mg/m³
# **Total magnetic moment**: 0.0 μB/f.u.
# **Relative energy among the computed polymorphs**: 366 meV per atom

# PBE-GGA Cs2NaPPd, optimized geometry
data_Cs2NaPPd
_space_group_name_H-M_alt 'P 1'
_space_group_IT_number 1
_cell_length_a 7.210
_cell_length_b 7.210
_cell_length_c 4.443
_cell_angle_alpha 90.00
_cell_angle_beta 90.00
_cell_angle_gamma 90.00
loop_
_space_group_symop_operation_xyz
'x,y,z'
loop_
_atom_site_label
_atom_site_fract_x
_atom_site_fract_y
_atom_site_fract_z
Cs1 0.000 0.500 0.000
Cs2 0.500 0.000 0.000
P1 0.000 0.000 0.000
Pd1 0.000 0.000 0.500
Na1 0.500 0.500 0.500
# **DOS at the Fermi energy**: 4.1 states/eV per cell
# **Energy**: -2.8564 eV per atom
# **Mass density**: 3.06 Mg/m³
# **Total magnetic moment**: 0.0 μB/f.u.
# **Relative energy among the computed polymorphs**: 0 meV per atom

> What is the energy in the eleventh record?

-2.9743 eV per atom